A PBEsol-optimized structure of RbTl2Hg2. Source: the Alexandria database, functional meta-GGA SCAN.

Geometry as POSCAR:
```
RbTl2Hg2
1.0
5.508 0.000 0.000
0.000 5.508 0.000
-2.754 -2.754 5.398
Hg Tl Rb
2 2 1
Direct
0.750 0.250 0.500 Hg
0.250 0.750 0.500 Hg
0.640 0.640 0.279 Tl
0.360 0.360 0.721 Tl
0.000 0.000 0.000 Rb
```

- magnetic moment (μB per atom) = 0.0000
- energy of formation (eV per atom) = -0.19
- relative energy among the computed polymorphs (meV/atom) = 0.0
- ρ (g cm⁻³) = 9.08
- electronic total energy (Ry/atom) = -4.4499
- symmetry = I4/mmm